a:
# PBE Tc2HOs, optimized geometry
data_Tc2HOs
_space_group_name_H-M_alt 'R -3 m'
_space_group_IT_number 166
_space_group_name_Hall '-R 3 2"'
_cell_length_a 2.7701
_cell_length_b 2.7701
_cell_length_c 21.7230
_cell_angle_alpha 90.00
_cell_angle_beta 90.00
_cell_angle_gamma 120.00
loop_
_atom_site_label
_atom_site_fract_x
_atom_site_fract_y
_atom_site_fract_z
Tc1 0.0000 0.0000 0.1140
H1 0.0000 0.0000 0.5000
Os1 0.0000 0.0000 0.0000
# M_tot, μB/f.u.: 0.000
# D(E_F), states/eV per atom: 1.0172

***

b:
# PBE Tc2HOs, optimized geometry
data_Tc2HOs
_space_group_name_H-M_alt 'I -4 2 d'
_space_group_IT_number 122
_space_group_name_Hall 'I -4 2bw'
_cell_length_a 6.044
_cell_length_b 6.044
_cell_length_c 5.188
_cell_angle_alpha 90.00
_cell_angle_beta 90.00
_cell_angle_gamma 90.00
loop_
_atom_site_label
_atom_site_fract_x
_atom_site_fract_y
_atom_site_fract_z
Tc1 0.157 0.250 0.125
H1 0.000 0.000 0.000
Os1 0.000 0.000 0.500
# M_tot, μB/f.u.: 0.000
# D(E_F), states/eV per atom: 1.1508

***

What should be chosen as the least stable of them? Choose a.

***

a:
# PBE Tc2HOsW, optimized geometry
data_Tc2HOsW
_space_group_name_H-M_alt 'P 4/m m m'
_space_group_IT_number 123
_space_group_name_Hall '-P 4 2'
_cell_length_a 3.954
_cell_length_b 3.954
_cell_length_c 3.938
_cell_angle_alpha 90.00
_cell_angle_beta 90.00
_cell_angle_gamma 90.00
loop_
_atom_site_label
_atom_site_fract_x
_atom_site_fract_y
_atom_site_fract_z
Tc1 0.000 0.500 0.000
H1 0.000 0.000 0.000
Os1 0.000 0.000 0.500
W1 0.500 0.500 0.500
# M_tot, μB/f.u.: 0.000
# D(E_F), states/eV per atom: 0.8175

***

b:
# PBE Tc2HOsW, optimized geometry
data_Tc2HOsW
_space_group_name_H-M_alt 'P 4/m m m'
_space_group_IT_number 123
_space_group_name_Hall '-P 4 2'
_cell_length_a 3.927
_cell_length_b 3.927
_cell_length_c 3.993
_cell_angle_alpha 90.00
_cell_angle_beta 90.00
_cell_angle_gamma 90.00
loop_
_atom_site_label
_atom_site_fract_x
_atom_site_fract_y
_atom_site_fract_z
Tc1 0.000 0.500 0.000
H1 0.000 0.000 0.000
Os1 0.500 0.500 0.500
W1 0.000 0.000 0.500
# M_tot, μB/f.u.: 0.000
# D(E_F), states/eV per atom: 0.9406

***

What should be chosen as the least stable of them? Choose b.

***

a:
# PBE TeHOs2, optimized geometry
data_TeHOs2
_space_group_name_H-M_alt 'I -4 2 d'
_space_group_IT_number 122
_space_group_name_Hall 'I -4 2bw'
_cell_length_a 4.992
_cell_length_b 4.992
_cell_length_c 9.508
_cell_angle_alpha 90.00
_cell_angle_beta 90.00
_cell_angle_gamma 90.00
loop_
_atom_site_label
_atom_site_fract_x
_atom_site_fract_y
_atom_site_fract_z
Te1 0.000 0.000 0.000
H1 0.000 0.000 0.500
Os1 0.107 0.250 0.625
# M_tot, μB/f.u.: 0.000
# D(E_F), states/eV per atom: 0.8099

***

b:
# PBE TeHOs2, optimized geometry
data_TeHOs2
_space_group_name_H-M_alt 'F m -3 m'
_space_group_IT_number 225
_space_group_name_Hall '-F 4 2 3'
_cell_length_a 6.074
_cell_length_b 6.074
_cell_length_c 6.074
_cell_angle_alpha 90.00
_cell_angle_beta 90.00
_cell_angle_gamma 90.00
loop_
_atom_site_label
_atom_site_fract_x
_atom_site_fract_y
_atom_site_fract_z
Te1 0.000 0.000 0.000
H1 0.000 0.000 0.500
Os1 0.250 0.250 0.250
# M_tot, μB/f.u.: 0.000
# D(E_F), states/eV per atom: 0.8016

***

What should be chosen as the least stable of them? Choose b.